Below is RbSiIr2 after structural relaxation, with properties calculated at the GGA-PBE level.

Unit cell a=5.0989 b=5.0989 c=8.7999 alpha=73.16 beta=73.16 gamma=90.00
Element x y z (fractional)
Ir 0.3750 0.6250 0.7500
Ir 0.3750 0.6250 0.2500
Ir 0.3750 0.1250 0.2500
Ir 0.8750 0.6250 0.7500
Rb 0.7500 0.2500 0.5000
Rb 0.0000 0.0000 0.0000
Si 0.2500 0.7500 0.5000
Si 0.5000 0.5000 0.0000

---

Below is SbWAu3 after structural relaxation, with properties calculated at the GGA-PBE level.

Results
energy relative to the lowest polymorph listed for this composition	33.8	kJ/mol of atoms

Unit cell a=5.1445 b=5.1445 c=5.1445 alpha=90.00 beta=90.00 gamma=90.00
Element x y z (fractional)
Au 0.0000 0.5000 0.0000
Au 0.5000 0.0000 0.0000
Au 0.0000 0.0000 0.5000
Sb 0.0000 0.0000 0.0000
W 0.5000 0.5000 0.5000

---

So what do the calculations give for final energy? Going down the list: -5.646 -3.855 eV/atom.
So what do the calculations give for energy relative to the elements, uncorrected? Going down the list: 382 1527 meV per atom.